# 1
Ce3Sb2Pt7 | GGA-PBE | optimized geometry

As for the raw total energy: -6.4880 eV/atom. Its formation energy without anion corrections is -9.52 eV per formula unit.

The space group is I4/mmm (No. 139) and the conventional cell measures 4.0875, 4.0875 and 30.4354 Å, with angles of 90.00, 90.00 and 90.00 degrees. The asymmetric unit holds Ce at (0.0000, 0.0000, 0.0000), Ce at (0.0000, 0.0000, 0.1850), Sb at (0.0000, 0.0000, 0.3724), Pt at (0.0000, 0.0000, 0.2795), Pt at (0.0000, 0.0000, 0.5000) and Pt at (0.0000, 0.5000, 0.0697).

---

# 2
Sr2CeSb3Pt4 | GGA-PBE | optimized geometry

As for the raw total energy: -5.4344 eV/atom. Its formation energy without anion corrections is -8.52 eV per formula unit.

The space group is P-4m2 (No. 115) and the conventional cell measures 4.6463, 4.6463 and 11.4590 Å, with angles of 90.00, 90.00 and 90.00 degrees. The asymmetric unit holds Sr at (0.0000, 0.5000, 0.2214), Ce at (0.0000, 0.0000, 0.5000), Sb at (0.0000, 0.5000, 0.8773), Sb at (0.5000, 0.5000, 0.5000), Pt at (0.0000, 0.0000, 0.0000), Pt at (0.0000, 0.5000, 0.6466) and Pt at (0.5000, 0.5000, 0.0000).

---

# 3
Ce2ScPt9 | GGA-PBE | optimized geometry

As for the raw total energy: -7.0582 eV/atom. Its formation energy is -1011.0 meV per atom.

The space group is P4/mmm (No. 123) and the conventional cell measures 4.1228, 4.1228 and 12.3159 Å, with angles of 90.00, 90.00 and 90.00 degrees. The asymmetric unit holds Ce at (0.0000, 0.0000, 0.1716), Sc at (0.0000, 0.0000, 0.5000), Pt at (0.0000, 0.5000, 0.0000), Pt at (0.0000, 0.5000, 0.3406), Pt at (0.5000, 0.5000, 0.1710) and Pt at (0.5000, 0.5000, 0.5000).

---

# 4
CeSc2Pt3 | GGA-PBE | optimized geometry

As for the raw total energy: -7.2835 eV/atom. Its formation energy is -1163.6 meV per atom.

The space group is P4/mmm (No. 123) and the conventional cell measures 3.3050, 3.3050 and 10.5976 Å, with angles of 90.00, 90.00 and 90.00 degrees. The asymmetric unit holds Ce at (0.0000, 0.0000, 0.0000), Sc at (0.0000, 0.0000, 0.3428), Pt at (0.5000, 0.5000, 0.1981) and Pt at (0.5000, 0.5000, 0.5000).

---

# 5
CeSc2Pt | GGA-PBE | optimized geometry

As for the raw total energy: -6.5983 eV/atom. Its formation energy is -438.9 meV per atom. Its energy relative to the lowest polymorph listed for this composition is 162 meV per atom.

The space group is R3m (No. 160, hexagonal axes) and the conventional cell measures 4.7091, 4.7091 and 15.4895 Å, with angles of 90.00, 90.00 and 120.00 degrees. The asymmetric unit holds Ce at (0.0000, 0.0000, 0.0000), Sc at (0.0000, 0.0000, 0.2153), Sc at (0.0000, 0.0000, 0.4460) and Pt at (0.0000, 0.0000, 0.8153).

---

# 6
Ce2ScPt2 | GGA-PBE | optimized geometry

As for the raw total energy: -6.9952 eV/atom. Its formation energy is -939.0 meV per atom.

The space group is P4/mbm (No. 127) and the conventional cell measures 7.7219, 7.7219 and 3.9040 Å, with angles of 90.00, 90.00 and 90.00 degrees. The asymmetric unit holds Ce at (0.1694, 0.3306, 0.0000), Sc at (0.0000, 0.0000, 0.5000) and Pt at (0.1379, 0.6379, 0.5000).

---

# 7
CeSc2Pt | GGA-PBE | optimized geometry

As for the raw total energy: -6.7605 eV/atom. Its formation energy is -601.1 meV per atom. Its energy relative to the lowest polymorph listed for this composition is 0 meV per atom.

The space group is P4/mmm (No. 123) and the conventional cell measures 3.3209, 3.3209 and 8.0547 Å, with angles of 90.00, 90.00 and 90.00 degrees. The asymmetric unit holds Ce at (0.0000, 0.0000, 0.0000), Sc at (0.5000, 0.5000, 0.3031) and Pt at (0.0000, 0.0000, 0.5000).

---

# 8
CeSc3Pt2 | GGA-PBE | optimized geometry

As for the raw total energy: -7.0776 eV/atom. Its formation energy is -909.2 meV per atom.

The space group is Pmc2_1 (No. 26) and the conventional cell measures 4.5895, 8.5128 and 6.7008 Å, with angles of 90.00, 90.00 and 90.00 degrees. The asymmetric unit holds Ce at (0.0000, 0.0703, 0.0000), Sc at (0.0000, 0.3392, 0.6362), Sc at (0.5000, 0.1890, 0.3421), Sc at (0.5000, 0.4306, 0.9728), Pt at (0.0000, 0.3510, 0.2318) and Pt at (0.5000, 0.1628, 0.7387).

---

# 9
CeSc4Pt5 | GGA-PBE | optimized geometry

As for the raw total energy: -7.3343 eV/atom. Its formation energy is -1187.9 meV per atom.

The space group is P4/mmm (No. 123) and the conventional cell measures 3.3105, 3.3105 and 17.1609 Å, with angles of 90.00, 90.00 and 90.00 degrees. The asymmetric unit holds Ce at (0.0000, 0.0000, 0.0000), Sc at (0.0000, 0.0000, 0.2111), Sc at (0.0000, 0.0000, 0.4041), Pt at (0.5000, 0.5000, 0.1220), Pt at (0.5000, 0.5000, 0.3096) and Pt at (0.5000, 0.5000, 0.5000).

---

# 10
Ce3ScPt12 | GGA-PBE | optimized geometry

As for the raw total energy: -7.0425 eV/atom. Its formation energy is -1003.6 meV per atom.

The space group is P4/mmm (No. 123) and the conventional cell measures 4.1333, 4.1333 and 16.4949 Å, with angles of 90.00, 90.00 and 90.00 degrees. The asymmetric unit holds Ce at (0.0000, 0.0000, 0.0000), Ce at (0.0000, 0.0000, 0.2555), Sc at (0.0000, 0.0000, 0.5000), Pt at (0.0000, 0.5000, 0.1275), Pt at (0.0000, 0.5000, 0.3812), Pt at (0.5000, 0.5000, 0.0000), Pt at (0.5000, 0.5000, 0.2547) and Pt at (0.5000, 0.5000, 0.5000).

---

# 11
CeSc2Pt | GGA-PBE | optimized geometry

As for the raw total energy: -6.5070 eV/atom. Its formation energy is -347.6 meV per atom. Its energy relative to the lowest polymorph listed for this composition is 254 meV per atom.

The space group is R-3m (No. 166, hexagonal axes) and the conventional cell measures 4.4751, 4.4751 and 17.1821 Å, with angles of 90.00, 90.00 and 120.00 degrees. The asymmetric unit holds Ce at (0.0000, 0.0000, 0.0000), Sc at (0.0000, 0.0000, 0.2160) and Pt at (0.0000, 0.0000, 0.5000).

---

# 12
CeScSi2Pt2 | GGA-PBE | optimized geometry

As for the raw total energy: -7.0066 eV/atom. Its formation energy without anion corrections is -6.85 eV per formula unit.

The space group is P-3m1 (No. 164) and the conventional cell measures 4.2822, 4.2822 and 7.0383 Å, with angles of 90.00, 90.00 and 120.00 degrees. The asymmetric unit holds Ce at (0.0000, 0.0000, 0.0000), Sc at (0.0000, 0.0000, 0.5000), Si at (0.3333, 0.6667, 0.2823) and Pt at (0.3333, 0.6667, 0.7035).

---

# 13
CeScTlPt | GGA-PBE | optimized geometry

As for the raw total energy: -5.6983 eV/atom. Its formation energy is -530.2 meV per atom.

The space group is F-43m (No. 216) and the conventional cell measures 7.2079, 7.2079 and 7.2079 Å, with angles of 90.00, 90.00 and 90.00 degrees. The asymmetric unit holds Ce at (0.0000, 0.0000, 0.0000), Sc at (0.0000, 0.0000, 0.5000), Tl at (0.2500, 0.2500, 0.2500) and Pt at (0.2500, 0.2500, 0.7500).

---

# 14
CeScZn5Pt2 | GGA-PBE | optimized geometry

As for the raw total energy: -3.7019 eV/atom. Its formation energy is -289.0 meV per atom.

The space group is P4/mmm (No. 123) and the conventional cell measures 4.7420, 4.7420 and 7.7291 Å, with angles of 90.00, 90.00 and 90.00 degrees. The asymmetric unit holds Ce at (0.0000, 0.0000, 0.0000), Sc at (0.0000, 0.0000, 0.5000), Zn at (0.0000, 0.5000, 0.2514), Zn at (0.5000, 0.5000, 0.0000) and Pt at (0.5000, 0.5000, 0.3287).

---

# 15
Ce2PtSe | GGA-PBE | optimized geometry

As for the raw total energy: -6.7131 eV/atom. Its formation energy without anion corrections is -5.46 eV per formula unit. Its energy relative to the lowest polymorph listed for this composition is 33 meV per atom.

The space group is Pmmn (No. 59, origin choice 2) and the conventional cell measures 4.0849, 5.9716 and 8.6274 Å, with angles of 90.00, 90.00 and 90.00 degrees. The asymmetric unit holds Ce at (0.2500, 0.2500, 0.1158), Ce at (0.2500, 0.2500, 0.6390), Pt at (0.2500, 0.7500, 0.1235) and Se at (0.2500, 0.7500, 0.6171).

---

# 16
Ce2PtSe | GGA-PBE | optimized geometry

As for the raw total energy: -6.7461 eV/atom. Its formation energy without anion corrections is -5.59 eV per formula unit. Its energy relative to the lowest polymorph listed for this composition is 0 meV per atom.

The space group is Cmcm (No. 63) and the conventional cell measures 3.9807, 23.3309 and 4.3336 Å, with angles of 90.00, 90.00 and 90.00 degrees. The asymmetric unit holds Ce at (0.0000, 0.0631, 0.2500), Ce at (0.0000, 0.3182, 0.2500), Pt at (0.0000, 0.4535, 0.2500) and Se at (0.0000, 0.1901, 0.2500).

---

# 17
Ce5PtSe5 | GGA-PBE | optimized geometry

As for the raw total energy: -6.4462 eV/atom. Its formation energy without anion corrections is -17.78 eV per formula unit.

The space group is C2/m (No. 12) and the conventional cell measures 13.4071, 5.9622 and 8.4126 Å, with angles of 90.00, 108.13 and 90.00 degrees. The asymmetric unit holds Ce at (0.0000, 0.0000, 0.0000), Ce at (0.1551, 0.5000, 0.8336), Ce at (0.1626, 0.5000, 0.3311), Pt at (0.0000, 0.5000, 0.0000), Se at (0.0000, 0.5000, 0.5000), Se at (0.1704, 0.0000, 0.8390) and Se at (0.1772, 0.0000, 0.3312).

---

# 18
Ce2PtSe | GGA-PBE | optimized geometry

As for the raw total energy: -6.6399 eV/atom. Its formation energy without anion corrections is -5.17 eV per formula unit. Its energy relative to the lowest polymorph listed for this composition is 106 meV per atom.

The space group is R3m (No. 160, hexagonal axes) and the conventional cell measures 4.0690, 4.0690 and 22.3898 Å, with angles of 90.00, 90.00 and 120.00 degrees. The asymmetric unit holds Ce at (0.0000, 0.0000, 0.0000), Ce at (0.0000, 0.0000, 0.1810), Pt at (0.0000, 0.0000, 0.5895) and Se at (0.0000, 0.0000, 0.7584).

---

# 19
Ce3PtSe2 | GGA-PBE | optimized geometry

As for the raw total energy: -6.6355 eV/atom. Its formation energy without anion corrections is -9.00 eV per formula unit.

The space group is Immm (No. 71) and the conventional cell measures 4.0904, 6.0078 and 12.8657 Å, with angles of 90.00, 90.00 and 90.00 degrees. The asymmetric unit holds Ce at (0.0000, 0.0000, 0.0000), Ce at (0.0000, 0.0000, 0.3426), Pt at (0.0000, 0.5000, 0.0000) and Se at (0.0000, 0.5000, 0.3292).

---

# 20
Ce2PtSe | GGA-PBE | optimized geometry

As for the raw total energy: -6.7153 eV/atom. Its formation energy without anion corrections is -5.47 eV per formula unit. Its energy relative to the lowest polymorph listed for this composition is 31 meV per atom.

The space group is R-3m (No. 166, hexagonal axes) and the conventional cell measures 4.0994, 4.0994 and 21.7111 Å, with angles of 90.00, 90.00 and 120.00 degrees. The asymmetric unit holds Ce at (0.0000, 0.0000, 0.2448), Pt at (0.0000, 0.0000, 0.5000) and Se at (0.0000, 0.0000, 0.0000).

---

# 21
CeSmPtSe | GGA-PBE | optimized geometry

As for the raw total energy: -6.4662 eV/atom. Its formation energy without anion corrections is -5.69 eV per formula unit.

The space group is P4/mmm (No. 123) and the conventional cell measures 4.1027, 4.1027 and 6.1213 Å, with angles of 90.00, 90.00 and 90.00 degrees. The asymmetric unit holds Ce at (0.0000, 0.0000, 0.0000), Sm at (0.5000, 0.5000, 0.5000), Pt at (0.5000, 0.5000, 0.0000) and Se at (0.0000, 0.0000, 0.5000).

---

# 22
Ce4Te2PtSe | GGA-PBE | optimized geometry

As for the raw total energy: -6.3117 eV/atom. Its formation energy without anion corrections is -10.95 eV per formula unit.

The space group is P2/m (No. 10) and the conventional cell measures 7.5352, 4.2386 and 7.6775 Å, with angles of 90.00, 108.80 and 90.00 degrees. The asymmetric unit holds Ce at (0.2299, 0.0000, 0.2173), Ce at (0.2559, 0.5000, 0.7723), Te at (0.0000, 0.0000, 0.5000), Te at (0.5000, 0.5000, 0.5000), Pt at (0.0000, 0.5000, 0.0000) and Se at (0.5000, 0.0000, 0.0000).

---

# 23
Ce2Tl3PtSe6 | GGA-PBE | optimized geometry

As for the raw total energy: -4.7573 eV/atom. Its formation energy without anion corrections is -11.17 eV per formula unit.

The space group is C2/m (No. 12) and the conventional cell measures 7.4274, 12.0403 and 8.4396 Å, with angles of 90.00, 111.01 and 90.00 degrees. The asymmetric unit holds Ce at (0.0000, 0.1633, 0.0000), Tl at (0.0000, 0.0000, 0.5000), Tl at (0.0000, 0.3257, 0.5000), Pt at (0.0000, 0.5000, 0.0000), Se at (0.2177, 0.3513, 0.1848) and Se at (0.2200, 0.0000, 0.2466).

---

# 24
Ce2Si2Pt3 | GGA-PBE | optimized geometry

As for the raw total energy: -6.8488 eV/atom. Its formation energy without anion corrections is -7.11 eV per formula unit.

The space group is C2/m (No. 12) and the conventional cell measures 10.4384, 3.9888 and 6.9920 Å, with angles of 90.00, 115.18 and 90.00 degrees. The asymmetric unit holds Ce at (0.1387, 0.0000, 0.2708), Si at (0.1477, 0.0000, 0.7201), Pt at (0.0000, 0.5000, 0.5000) and Pt at (0.1239, 0.5000, 0.9385).